Sm4CN3: optimized geometry, PBE.

```
Sm4CN3
1.0
4.667 0.000 -2.071
-0.919 4.575 -2.071
-0.010 -0.012 6.272
Sm C N
4 1 3
direct
0.744 0.744 0.487
0.256 0.256 0.513
0.000 0.500 0.000
0.500 0.000 0.000
0.000 0.000 0.000
0.500 0.500 0.000
0.250 0.750 0.500
0.750 0.250 0.500
```

Values from the calculation:
**Size of the total moment**: 0.0000 μB/atom
**VASP energy**: -7.677 eV/atom
**Space-group type**: I4/mmm

***

Ba3CuHg: optimized geometry, PBE.

```
Ba3CuHg
1.0
-3.849 4.268 -2.391
-4.666 -4.118 0.159
-1.473 1.891 5.745
Ba Hg Cu
3 1 1
direct
0.000 0.500 0.000
0.500 0.000 0.000
0.000 0.000 0.500
0.500 0.500 0.500
0.000 0.000 0.000
```

Values from the calculation:
**Size of the total moment**: 0.0000 μB/atom
**E above lowest polymorph**: 0.000 eV/f.u.
**VASP energy**: -2.037 eV/atom
**Formation enthalpy at 0 K**: 0.00 eV/atom
**Space-group type**: Pm-3m

***

Question: Look up the VASP energy of the first one.
Answer: -7.677 eV/atom

***

Question: Number 2 is which compound?
Answer: Ba3CuHg

***

Repeat the first record exactly.
Sm4CN3: optimized geometry, PBE.

```
Sm4CN3
1.0
4.667 0.000 -2.071
-0.919 4.575 -2.071
-0.010 -0.012 6.272
Sm C N
4 1 3
direct
0.744 0.744 0.487
0.256 0.256 0.513
0.000 0.500 0.000
0.500 0.000 0.000
0.000 0.000 0.000
0.500 0.500 0.000
0.250 0.750 0.500
0.750 0.250 0.500
```

Values from the calculation:
**Size of the total moment**: 0.0000 μB/atom
**VASP energy**: -7.677 eV/atom
**Space-group type**: I4/mmm